Record 1
A plane-wave DFT calculation with PBE was carried out for an optimized crystal structure of AgIr2Se.

Lattice parameters (Å, degrees): 5.285 5.285 5.445 116.15 116.15 31.76
Sites, in units of the cell vectors:
Ag (0.000, 0.000, 0.000)
Ir (0.470, 0.470, 0.442)
Ir (0.752, 0.752, 0.430)
Se (0.187, 0.187, 0.730)

**Theoretical density**: 13.3 g/cm3
**VASP energy**: -0.2074 Ha/atom
**Symmetry**: Cm (8)

=====

Record 2
A plane-wave DFT calculation with PBE was carried out for an optimized crystal structure of Ag3IrSe.

Lattice parameters (Å, degrees): 5.061 5.061 5.061 90.00 90.00 90.00
Sites, in units of the cell vectors:
Ag (0.000, 0.000, 0.500)
Ag (0.000, 0.500, 0.000)
Ag (0.500, 0.000, 0.000)
Ir (0.000, 0.000, 0.000)
Se (0.500, 0.500, 0.500)

**Theoretical density**: 7.6 g/cm3
**VASP energy**: -0.1094 Ha/atom
**Symmetry**: Pm-3m (221)